No. 1
An optimized crystal structure of BeFe2Te. Source: Alexandria via LeMat-Bulk, functional PBE.

```
4
Lattice="-0.6790 -1.1412 4.0361 -0.3937 -4.1087 1.0085 3.0667 -1.9506 2.2009" Properties=species:S:1:pos:R:3 pbc="T T T"
Te 1.4954 -5.4004 5.4341
Fe 0.4985 -1.8001 1.8114
Fe 0.0000 0.0000 0.0000
Be 0.9970 -3.6003 3.6227
```

Summary:
V, A^3/atom: 13.56
Formation energy (no corrections), eV per atom: 0.48
Size of the total moment, μB/f.u.: 4.140

***

No. 2
An optimized crystal structure of BeFeTe2. Source: Alexandria via LeMat-Bulk, functional PBE.

```
4
Lattice="4.4934 0.0000 0.0000 0.0000 4.2818 -0.1799 0.0000 1.2920 4.0807" Properties=species:S:1:pos:R:3 pbc="T T T"
Te 2.2467 1.8670 1.3157
Te 0.0000 5.0568 3.5468
Be 0.0000 3.0177 2.0866
Fe 2.2467 3.9928 2.8027
```

Summary:
V, A^3/atom: 19.89
Formation energy (no corrections), eV per atom: 0.17
Size of the total moment, μB/f.u.: 2.198

***

No. 3
An optimized crystal structure of BeFeTe2. Source: Alexandria via LeMat-Bulk, functional PBE.

```
4
Lattice="4.5426 -0.7222 0.0000 -2.6680 3.7467 0.0000 0.0000 0.0000 7.5308" Properties=species:S:1:pos:R:3 pbc="T T T"
Te 0.0000 0.0000 3.6446
Te 0.0000 0.0000 0.1207
Fe 0.9373 1.5123 5.6481
Be 0.9373 1.5123 1.8827
```

Summary:
V, A^3/atom: 28.42
Formation energy (no corrections), eV per atom: 0.54
Size of the total moment, μB/f.u.: 3.472